[1]
## TlReAs2Se (PBE)

Data for a relaxed TlReAs2Se crystal.

Cell and atoms, written as extended XYZ:
```
5
Lattice="4.755 0.000 0.000 0.000 4.755 0.000 0.000 0.000 5.592" Properties=species:S:1:pos:R:3 pbc="T T T"
Tl 2.377 2.377 2.796
As 0.000 2.377 0.000
As 2.377 0.000 0.000
Se 0.000 0.000 2.796
Re 0.000 0.000 0.000
```

Output
energy above the most stable polymorph in this dataset = 0.000 eV/atom
D(E_F) = 0.97 states/eV/atom
formation energy without anion corrections = 0.35 eV per atom


[2]
## Zr2TaCo (PBE)

Data for a relaxed Zr2TaCo crystal.

Cell and atoms, written as extended XYZ:
```
4
Lattice="-4.076 2.971 2.066 -4.474 -0.095 3.112 0.511 1.509 4.617" Properties=species:S:1:pos:R:3 pbc="T T T"
Zr -4.235 2.225 4.911
Zr -8.335 2.844 5.165
Co -2.010 1.096 2.449
Ta -6.030 3.289 7.346
```

Output
energy above the most stable polymorph in this dataset = 0.161 eV/atom
energy relative to the elements = 77 meV/atom
D(E_F) = 1.29 states/eV/atom


[3]
## Ta2PHPt (PBE)

Data for a relaxed Ta2PHPt crystal.

Cell and atoms, written as extended XYZ:
```
5
Lattice="4.999 0.000 0.000 0.000 3.265 0.000 0.000 0.000 4.999" Properties=species:S:1:pos:R:3 pbc="T T T"
Ta 2.500 0.000 0.000
Ta 0.000 0.000 2.500
P 2.500 1.632 2.500
Pt 0.000 0.000 0.000
H 0.000 1.632 0.000
```

Output
total DFT energy (no corrections) = -35.98 eV for the cell shown
D(E_F) = 0.54 states/eV/atom


[4]
## Fe2SiNi (PBE)

Data for a relaxed Fe2SiNi crystal.

Cell and atoms, written as extended XYZ:
```
4
Lattice="-1.006 3.711 1.082 -2.998 1.878 -1.855 -3.439 0.657 1.922" Properties=species:S:1:pos:R:3 pbc="T T T"
Si -1.861 1.562 0.287
Ni -3.721 3.123 0.574
Fe -5.582 4.685 0.862
Fe 0.000 0.000 0.000
```

Output
D(E_F) = 1.52 states/eV/atom
formation energy without anion corrections = -0.29 eV per atom


[5]
## Ga2TcRh (PBE)

Data for a relaxed Ga2TcRh crystal.

Cell and atoms, written as extended XYZ:
```
8
Lattice="-3.203 -5.034 3.180 3.154 -4.497 -3.943 2.083 -4.926 1.487" Properties=species:S:1:pos:R:3 pbc="T T T"
Tc 2.606 -7.095 -1.418
Tc -0.025 -4.766 -0.381
Ga 2.124 -4.620 -1.728
Ga 1.551 -12.081 0.407
Ga 1.511 -7.222 0.870
Ga -1.120 -4.992 1.899
Rh -0.573 -7.363 2.143
Rh 0.000 0.000 0.000
```

Output
energy above the most stable polymorph in this dataset = 0.509 eV/atom
energy relative to the elements = 137 meV/atom
D(E_F) = 0.63 states/eV/atom


[6]
## CoSiPCl2 (PBE)

Data for a relaxed CoSiPCl2 crystal.

Cell and atoms, written as extended XYZ:
```
5
Lattice="-0.691 -2.422 3.682 2.787 -3.127 -1.534 3.562 2.153 2.085" Properties=species:S:1:pos:R:3 pbc="T T T"
Cl 1.394 -1.564 -0.767
Cl -0.346 -1.211 1.841
P 1.781 1.076 1.042
Si 2.829 -1.698 2.117
Co 0.000 0.000 0.000
```

Output
energy above the most stable polymorph in this dataset = 0.000 eV/atom
D(E_F) = 1.03 states/eV/atom
formation energy without anion corrections = 0.44 eV per atom


[7]
## RbInP2O8 (PBE)

Data for a relaxed RbInP2O8 crystal.

Cell and atoms, written as extended XYZ:
```
12
Lattice="-1.057 5.066 -1.170 -0.205 -3.699 -3.798 -8.013 -1.284 1.682" Properties=species:S:1:pos:R:3 pbc="T T T"
Rb 0.000 0.000 0.000
O -3.544 2.938 -0.659
O -5.446 -1.680 -0.374
O -3.178 0.414 -0.840
O -6.097 -0.330 -2.447
O -7.688 -1.931 -1.411
O -5.730 -2.854 -2.628
O -3.829 1.763 -2.912
O -1.587 2.014 -1.875
P -3.088 1.773 -1.560
P -6.187 -1.690 -1.726
In -4.006 -0.642 0.841
```

Output
D(E_F) = 0.65 states/eV/atom
formation energy without anion corrections = -1.81 eV per atom


[8]
## RbSn2Br5 (PBE)

Data for a relaxed RbSn2Br5 crystal.

Cell and atoms, written as extended XYZ:
```
32
Lattice="8.743 0.000 0.000 0.000 10.738 -3.063 0.000 0.886 14.214" Properties=species:S:1:pos:R:3 pbc="T T T"
Rb 4.372 5.812 5.575
Rb 0.000 5.369 -1.532
Rb 0.000 0.000 0.000
Rb 4.372 0.443 7.107
Br 2.223 5.956 9.719
Br 5.614 2.783 4.724
Br 7.381 1.500 7.864
Br 1.243 8.398 -0.680
Br 3.129 8.841 6.427
Br 6.595 6.111 8.539
Br 6.535 10.285 8.658
Br 5.680 8.177 11.997
Br 7.501 3.226 11.831
Br 1.309 3.891 6.261
Br 6.520 5.668 1.432
Br 1.362 10.124 3.287
Br 5.734 1.057 0.757
Br 2.208 1.340 2.493
Br 6.580 9.842 1.551
Br 3.009 10.567 10.394
Br 7.435 7.734 4.890
Br 2.164 1.783 9.600
Br 2.149 5.513 2.612
Br 3.063 3.448 -0.846
Sn 3.713 9.606 -1.131
Sn 4.804 8.024 9.395
Sn 8.085 1.575 5.175
Sn 0.658 10.049 5.976
Sn 3.940 3.601 1.756
Sn 5.030 2.018 12.282
Sn 8.311 7.581 2.288
Sn 0.432 4.044 8.863
```

Output
energy above the most stable polymorph in this dataset = 0.029 eV/atom
D(E_F) = 0.00 states/eV/atom
formation energy without anion corrections = -1.00 eV per atom


Which value of D(E_F) does entry 3 give? 0.54 states/eV/atom